# 1
A geometry-optimized TlCdHgF6 structure, computed with PBE-GGA.

Formation energy (no corrections) = -1.75 eV/atom

a b c (Å): 6.0713 6.0713 9.5803
angles (deg): 90.00 90.00 120.00
Element x y z (fractional)
Tl 0.3333 0.6667 0.2500
Tl 0.6667 0.3333 0.7500
Cd 0.3333 0.6667 0.7500
Cd 0.6667 0.3333 0.2500
Hg 0.0000 0.0000 0.0000
Hg 0.0000 0.0000 0.5000
F 0.0099 0.3406 0.6290
F 0.0099 0.6693 0.8710
F 0.3307 0.3406 0.8710
F 0.3307 0.9901 0.6290
F 0.3406 0.0099 0.1290
F 0.3406 0.3307 0.3710
F 0.6594 0.6693 0.6290
F 0.6594 0.9901 0.8710
F 0.6693 0.0099 0.3710
F 0.6693 0.6594 0.1290
F 0.9901 0.3307 0.1290
F 0.9901 0.6594 0.3710


# 2
A geometry-optimized K3Ac3WS8 structure, computed with PBE-GGA.

Formation energy (no corrections) = -1.50 eV/atom

a b c (Å): 8.9753 8.9753 8.9753
angles (deg): 56.30 56.30 56.30
Element x y z (fractional)
K 0.0000 0.5000 0.5000
K 0.5000 0.0000 0.5000
K 0.5000 0.5000 0.0000
Ac 0.0000 0.0000 0.5000
Ac 0.0000 0.5000 0.0000
Ac 0.5000 0.0000 0.0000
W 0.5000 0.5000 0.5000
S 0.2401 0.2401 0.2401
S 0.2786 0.7054 0.7054
S 0.2946 0.2946 0.7214
S 0.2946 0.7214 0.2946
S 0.7054 0.2786 0.7054
S 0.7054 0.7054 0.2786
S 0.7214 0.2946 0.2946
S 0.7599 0.7599 0.7599


# 3
A geometry-optimized HoTl2In structure, computed with PBE-GGA.

Formation energy from the elements = -1.07 eV per formula unit

a b c (Å): 4.7332 4.7332 4.6944
angles (deg): 90.00 90.00 90.00
Element x y z (fractional)
Ho 0.0000 0.0000 0.0000
Tl 0.0000 0.5000 0.5000
Tl 0.5000 0.0000 0.5000
In 0.5000 0.5000 0.0000


# 4
A geometry-optimized NaLa2YTc structure, computed with PBE-GGA.

Formation energy from the elements = 0.37 eV per formula unit

a b c (Å): 5.5012 5.5012 5.6533
angles (deg): 90.00 90.00 90.00
Element x y z (fractional)
Na 0.0000 0.0000 0.0000
La 0.0000 0.5000 0.5000
La 0.5000 0.0000 0.5000
Y 0.5000 0.5000 0.0000
Tc 0.5000 0.5000 0.5000


# 5
A geometry-optimized Ce3ScSi4 structure, computed with PBE-GGA.

Formation energy (no corrections) = -0.54 eV/atom

a b c (Å): 8.5279 8.5279 8.5279
angles (deg): 152.08 137.67 51.47
Element x y z (fractional)
Ce 0.0000 0.0000 0.0000
Ce 0.3064 0.8064 0.5000
Ce 0.6936 0.1936 0.5000
Sc 0.5000 0.5000 0.0000
Si 0.0666 0.3733 0.6932
Si 0.3199 0.6267 0.6932
Si 0.6801 0.3733 0.3068
Si 0.9334 0.6267 0.3068


# 6
A geometry-optimized Na2TlF6 structure, computed with PBE-GGA.

Formation energy (no corrections) = -2.00 eV/atom
Energy above the lowest structure with this stoichiometry = 24 meV per atom

a b c (Å): 5.9995 5.3825 11.2387
angles (deg): 90.00 121.53 90.00
Element x y z (fractional)
Na 0.1900 0.0026 0.1926
Na 0.1900 0.4974 0.6926
Na 0.8100 0.5026 0.3074
Na 0.8100 0.9974 0.8074
Tl 0.5000 0.0000 0.0000
Tl 0.5000 0.5000 0.5000
F 0.1822 0.7210 0.3426
F 0.1822 0.7790 0.8426
F 0.1897 0.1969 0.9988
F 0.1897 0.3031 0.4988
F 0.4941 0.2091 0.8352
F 0.4941 0.2909 0.3352
F 0.5059 0.7091 0.6648
F 0.5059 0.7909 0.1648
F 0.8103 0.6969 0.5012
F 0.8103 0.8031 0.0012
F 0.8178 0.2210 0.1574
F 0.8178 0.2790 0.6574


# 7
A geometry-optimized MnReW structure, computed with PBE-GGA.

Formation energy from the elements = 0.36 eV per formula unit
Energy above the lowest structure with this stoichiometry = 39 meV per atom

a b c (Å): 5.0117 5.0117 5.0117
angles (deg): 143.75 143.75 52.20
Element x y z (fractional)
Mn 0.0000 0.0000 0.0000
Re 0.3330 0.3330 0.0000
W 0.6661 0.6661 0.0000


# 8
A geometry-optimized Ho2SiTe structure, computed with PBE-GGA.

Formation energy (no corrections) = -1.08 eV/atom
Energy above the lowest structure with this stoichiometry = 0 meV per atom

a b c (Å): 7.4656 7.4656 7.4656
angles (deg): 32.69 32.69 32.69
Element x y z (fractional)
Ho 0.2394 0.2394 0.2394
Ho 0.7606 0.7606 0.7606
Si 0.5000 0.5000 0.5000
Te 0.0000 0.0000 0.0000


# 9
A geometry-optimized Hf4FeAu2 structure, computed with PBE-GGA.

Formation energy from the elements = 0.18 eV per formula unit

a b c (Å): 7.6415 7.6415 7.6415
angles (deg): 144.21 144.21 51.52
Element x y z (fractional)
Hf 0.0000 0.5000 0.5000
Hf 0.1789 0.1789 0.0000
Hf 0.5000 0.0000 0.5000
Hf 0.8211 0.8211 0.0000
Fe 0.0000 0.0000 0.0000
Au 0.3746 0.3746 0.0000
Au 0.6254 0.6254 0.0000


# 10
A geometry-optimized TlCuSb2 structure, computed with PBE-GGA.

Formation energy (no corrections) = 0.37 eV/atom
Energy above the lowest structure with this stoichiometry = 314 meV per atom

a b c (Å): 5.9591 5.9591 3.2468
angles (deg): 92.89 92.89 118.08
Element x y z (fractional)
Tl 0.0000 0.0000 0.0000
Cu 0.5000 0.5000 0.0000
Sb 0.0000 0.5000 0.5000
Sb 0.5000 0.0000 0.5000


# 11
A geometry-optimized TlIn2Ga4 structure, computed with PBE-GGA.

Formation energy from the elements = 0.26 eV per formula unit

a b c (Å): 8.9035 8.9035 6.4933
angles (deg): 97.70 97.70 40.28
Element x y z (fractional)
Tl 0.2398 0.7602 0.7500
Tl 0.7602 0.2398 0.2500
In 0.1015 0.2685 0.1499
In 0.2685 0.1015 0.6499
In 0.7315 0.8985 0.3501
In 0.8985 0.7315 0.8501
Ga 0.1854 0.6569 0.2225
Ga 0.2596 0.3999 0.4922
Ga 0.3431 0.8146 0.2775
Ga 0.3999 0.2596 0.9922
Ga 0.6001 0.7404 0.0078
Ga 0.6569 0.1854 0.7225
Ga 0.7404 0.6001 0.5078
Ga 0.8146 0.3431 0.7775


# 12
A geometry-optimized TcIr4 structure, computed with PBE-GGA.

Formation energy from the elements = 1.09 eV per formula unit
Energy above the lowest structure with this stoichiometry = 326 meV per atom

a b c (Å): 4.8071 4.7842 6.9827
angles (deg): 90.00 111.31 90.00
Element x y z (fractional)
Tc 0.0000 0.0000 0.0000
Tc 0.0000 0.5000 0.5000
Ir 0.2116 0.0587 0.4110
Ir 0.2116 0.4413 0.9110
Ir 0.4048 0.5821 0.3065
Ir 0.4048 0.9179 0.8065
Ir 0.5952 0.0821 0.1935
Ir 0.5952 0.4179 0.6935
Ir 0.7884 0.5587 0.0890
Ir 0.7884 0.9413 0.5890


Values for size of the total moment, μB per formula unit, ordered as above
0.0, 2.0, 0.0, 0.0, 0.9, 1.0, 2.3, 0.0, 0.0, 0.0, 0.0, 0.0
Values for density, Mg/m³, ordered as above
6.9, 4.4, 10.9, 4.7, 4.9, 3.9, 16.1, 7.5, 12.7, 8.4, 7.2, 19.2